(1)
Crystalline PaTl2NiS4 at its relaxed geometry, computed with GGA-PBE.

Cell: 6.414 6.414 6.414 Å, 106.42 111.02 111.02°
Fractional positions:
Pa (0.500, 0.250, 0.750)
Tl (0.500, 0.750, 0.250)
Tl (0.000, 0.000, 0.000)
Ni (0.000, 0.500, 0.500)
S (0.588, 0.347, 0.416)
S (0.070, 0.241, 0.653)
S (0.930, 0.584, 0.172)
S (0.412, 0.828, 0.759)

Values from the calculation:
E_tot: -5.2040 eV/atom
E_form (uncorrected): -0.64 eV per atom
total magnetization: 0.76 μB per formula unit



(2)
Crystalline Li3HIr at its relaxed geometry, computed with GGA-PBE.

Cell: 3.793 3.793 3.793 Å, 90.00 90.00 90.00°
Fractional positions:
H (0.000, 0.000, 0.000)
Ir (0.500, 0.500, 0.500)
Li (0.000, 0.500, 0.000)
Li (0.000, 0.000, 0.500)
Li (0.500, 0.000, 0.000)

Values from the calculation:
E_tot: -3.5204 eV/atom
energy above the most stable polymorph in this dataset: 0 meV/atom
total magnetization: 0.95 μB per formula unit



(3)
Crystalline CrCuSi at its relaxed geometry, computed with GGA-PBE.

Cell: 3.546 3.546 6.250 Å, 90.00 90.00 90.00°
Fractional positions:
Si (0.500, 0.000, 0.767)
Si (0.000, 0.500, 0.233)
Cr (0.500, 0.000, 0.156)
Cr (0.000, 0.500, 0.844)
Cu (0.500, 0.500, 0.500)
Cu (0.000, 0.000, 0.500)

Values from the calculation:
E_tot: -6.4363 eV/atom
E_form (uncorrected): -0.06 eV per atom
total magnetization: 2.63 μB per formula unit



(4)
Crystalline PmY2Co at its relaxed geometry, computed with GGA-PBE.

Cell: 6.375 6.993 9.535 Å, 90.00 90.00 90.00°
Fractional positions:
Pm (0.642, 0.545, 0.250)
Pm (0.858, 0.045, 0.250)
Pm (0.358, 0.455, 0.750)
Pm (0.142, 0.955, 0.750)
Y (0.177, 0.671, 0.069)
Y (0.323, 0.171, 0.431)
Y (0.823, 0.329, 0.569)
Y (0.677, 0.829, 0.931)
Y (0.823, 0.329, 0.931)
Y (0.677, 0.829, 0.569)
Y (0.177, 0.671, 0.431)
Y (0.323, 0.171, 0.069)
Co (0.050, 0.386, 0.250)
Co (0.450, 0.886, 0.250)
Co (0.950, 0.614, 0.750)
Co (0.550, 0.114, 0.750)

Values from the calculation:
E_tot: -6.3250 eV/atom
energy above the most stable polymorph in this dataset: 0 meV/atom
total magnetization: 0.00 μB per formula unit



(5)
Crystalline YSc2Cd2In2 at its relaxed geometry, computed with GGA-PBE.

Cell: 4.856 4.856 8.825 Å, 74.03 74.03 60.00°
Fractional positions:
Y (0.000, 0.000, 0.000)
Sc (0.136, 0.136, 0.591)
Sc (0.864, 0.864, 0.409)
Cd (0.566, 0.566, 0.302)
Cd (0.434, 0.434, 0.698)
In (0.736, 0.736, 0.792)
In (0.264, 0.264, 0.208)

Values from the calculation:
E_tot: -4.0105 eV/atom
total magnetization: 0.66 μB per formula unit



(6)
Crystalline Sm4ZnCo4 at its relaxed geometry, computed with GGA-PBE.

Cell: 5.473 8.311 8.311 Å, 90.00 90.00 90.00°
Fractional positions:
Sm (0.104, 0.539, 0.187)
Sm (0.104, 0.961, 0.313)
Sm (0.604, 0.813, 0.039)
Sm (0.604, 0.687, 0.461)
Sm (0.896, 0.461, 0.813)
Sm (0.896, 0.039, 0.687)
Sm (0.396, 0.187, 0.961)
Sm (0.396, 0.313, 0.539)
Zn (0.750, 0.250, 0.250)
Zn (0.250, 0.750, 0.750)
Co (0.095, 0.620, 0.510)
Co (0.095, 0.880, 0.990)
Co (0.595, 0.490, 0.120)
Co (0.595, 0.010, 0.380)
Co (0.905, 0.380, 0.490)
Co (0.905, 0.120, 0.010)
Co (0.405, 0.510, 0.880)
Co (0.405, 0.990, 0.620)

Values from the calculation:
E_tot: -5.4348 eV/atom
total magnetization: 0.82 μB per formula unit



(7)
Crystalline TcRu3Au at its relaxed geometry, computed with GGA-PBE.

Cell: 4.624 4.624 4.624 Å, 90.00 90.00 90.00°
Fractional positions:
Ru (0.000, 0.500, 0.000)
Ru (0.000, 0.000, 0.500)
Ru (0.500, 0.000, 0.000)
Au (0.500, 0.500, 0.500)
Tc (0.000, 0.000, 0.000)

Values from the calculation:
E_tot: -6.6825 eV/atom
energy above the most stable polymorph in this dataset: 0 meV/atom
total magnetization: 2.09 μB per formula unit



(8)
Crystalline SrMo2CSe at its relaxed geometry, computed with GGA-PBE.

Cell: 5.574 4.368 5.574 Å, 90.00 90.00 90.00°
Fractional positions:
Sr (0.000, 0.000, 0.000)
Mo (0.000, 0.000, 0.500)
Mo (0.500, 0.000, 0.000)
C (0.000, 0.500, 0.000)
Se (0.500, 0.500, 0.500)

Values from the calculation:
E_tot: -4.1590 eV/atom
energy above the most stable polymorph in this dataset: 2564 meV/atom
E_form (uncorrected): 3.05 eV per atom
total magnetization: 6.68 μB per formula unit



> Among the records above, which one has the lowest E_tot?

TcRu3Au